Density functional theory data (PBE-GGA) for LuPaCd2 after structural relaxation.

## Properties
formation energy from the elements	-0.024	eV/atom
uncorrected energy	-3.9861	eV per atom

Lattice parameters (Å, degrees): 3.2453 3.2453 9.2117 90.00 90.00 90.00
Sites, in units of the cell vectors:
Lu 0.0000 0.0000 0.0000
Pa 0.0000 0.0000 0.5000
Cd 0.5000 0.5000 0.2402
Cd 0.5000 0.5000 0.7598

---

Density functional theory data (PBE-GGA) for FeRe2Ir after structural relaxation.

## Properties
formation energy from the elements	-0.012	eV/atom
uncorrected energy	-10.5671	eV per atom
distance to the lowest polymorph of the same formula	39.3	meV/atom

Lattice parameters (Å, degrees): 2.7026 3.8376 5.4225 90.00 90.00 90.00
Sites, in units of the cell vectors:
Fe 0.0000 0.0000 0.0000
Re 0.0000 0.0000 0.4985
Re 0.5000 0.5000 0.7631
Ir 0.5000 0.5000 0.2431